! KNiF3 (GGA+U, optimized geometry); values from VASP
! VASP energy = -4.192 eV per atom
! density of states at the Fermi level = 0.00 states/eV per cell
! spin magnetization = 4.10 μB per cell
&SYSTEM
  ibrav = 0, nat = 10, ntyp = 3
/
ATOMIC_SPECIES
K 39.10 K.upf
Ni 58.69 Ni.upf
F 19.00 F.upf
ATOMIC_POSITIONS angstrom
K 0.800 1.357 1.124
K 2.400 4.072 6.735
Ni 0.800 4.072 2.923
Ni 2.400 1.357 4.936
F 0.800 0.048 4.976
F 0.800 2.667 4.976
F 0.800 4.072 0.931
F 2.400 1.357 6.928
F 2.400 2.762 2.883
F 2.400 5.381 2.883
CELL_PARAMETERS angstrom
3.200 0.000 0.000
0.000 5.429 0.000
0.000 0.000 7.859